A relaxed structure of MgPa2Ni9, computed with PBE.

Output
- energy above the lowest structure with this stoichiometry (eV/atom) = 0.0410
- energy of formation from the pure elements (meV/atom) = -297.2
- symmetry = No. 166
- crystal system = trigonal
- calculated volume (Å³ per cell) = 167
- density (Mg/m³) = 10.06

```
MgPa2Ni9
1.0
4.868 0.000 0.000
2.434 4.216 0.000
2.434 1.405 8.157
Pa Ni Mg
2 9 1
Cartesian
7.302 4.216 3.346
2.434 1.405 4.811
2.434 1.405 0.015
6.089 2.105 2.023
6.089 3.516 6.135
7.302 4.216 8.142
4.868 2.810 4.079
3.646 2.105 2.023
4.868 1.400 6.135
4.868 4.221 2.023
3.646 3.516 6.135
0.000 0.000 0.000
```